## Co2TeAs (GGA-PBEsol)

Data for Co2TeAs after structural relaxation.

The magnetic moment comes out at 0.00 μB per cell. Its space group is R-3m. The calculation puts the total DFT energy (no corrections) at -6.058 eV/atom. The uncorrected formation energy is -0.12 eV/f.u.

Lattice parameters (Å, degrees): 3.6425 3.6425 5.7709 71.60 71.60 60.00
Fractional positions:
Co 0.7213 0.7213 0.8360
Co 0.2787 0.2787 0.1640
Te 0.5000 0.5000 0.5000
As 0.0000 0.0000 0.0000